[1]
K2MnMoW: optimized geometry, GGA-PBE.

Unit cell a=6.524 b=4.650 c=6.524 alpha=90.00 beta=90.00 gamma=90.00
Site moments in Bohr magnetons follow the coordinates.
Atoms (fractional coordinates):
Mo  0.000  0.500  0.000  -1.53
Mn  0.500  0.500  0.500  4.38
K  0.000  0.000  0.500  0.01
K  0.500  0.000  0.000  0.01
W  0.000  0.000  0.000  1.34

Output
Total magnetic moment in μB/f.u.: 4.50
Formation energy in meV/atom: 2023
Total DFT energy (no corrections) in eV for the cell shown: -25.04
SG: P4/mmm (123)

=====

[2]
KMnN3: optimized geometry, GGA-PBE.

Unit cell a=4.060 b=4.060 c=4.060 alpha=90.00 beta=90.00 gamma=90.00
Site moments in Bohr magnetons follow the coordinates.
Atoms (fractional coordinates):
K  0.000  0.000  0.000  0.00
Mn  0.500  0.500  0.500  0.06
N  0.000  0.500  0.000  -0.04
N  0.000  0.000  0.500  -0.01
N  0.500  0.000  0.000  -0.07

Output
Formation energy without anion corrections in eV per atom: 3.834
Total magnetic moment in μB/f.u.: 0.07
Total DFT energy (no corrections) in eV for the cell shown: -16.07
SG: Pm-3m (221)

=====

[3]
K2Mn2N3: optimized geometry, GGA-PBE.

Unit cell a=8.813 b=7.317 c=5.743 alpha=60.02 beta=90.00 gamma=90.00
Site moments in Bohr magnetons follow the coordinates.
Atoms (fractional coordinates):
K  0.348  0.062  0.194  0.00
K  0.152  0.562  0.194  0.00
K  0.848  0.438  0.806  0.00
K  0.652  0.938  0.806  0.00
Mn  0.524  0.486  0.310  1.71
Mn  0.024  0.014  0.690  1.71
Mn  0.976  0.986  0.310  1.71
Mn  0.476  0.514  0.690  1.71
N  0.500  0.500  0.000  -0.15
N  0.000  0.000  0.000  -0.15
N  0.967  0.208  0.358  -0.12
N  0.467  0.292  0.642  -0.12
N  0.533  0.708  0.358  -0.12
N  0.033  0.792  0.642  -0.12

Output
Formation energy without anion corrections in eV per atom: -0.051
Total magnetic moment in μB/f.u.: 3.40
Total DFT energy (no corrections) in eV for the cell shown: -91.74
SG: P2_1/c (14)